Entry from Alexandria: an optimized crystal structure of NdZnCo2H8 (PBE).

The structure in POSCAR format:
```
NdZnCo2H8
1.0
4.480 0.000 0.000
2.240 3.880 0.000
2.240 1.293 5.473
Nd H Co Zn
1 8 2 1
Direct
0.500 0.500 0.500
0.598 0.363 0.139
0.901 0.598 0.139
0.363 0.901 0.139
0.637 0.099 0.861
0.796 0.796 0.612
0.099 0.402 0.861
0.204 0.204 0.388
0.402 0.637 0.861
0.303 0.303 0.090
0.697 0.697 0.910
0.000 0.000 0.000
```

Summary:
E_tot, eV for the cell shown: -48.74